# 1
Density functional theory data (PBE) for a relaxed Ca2YAl crystal.

Cell and atoms, written as extended XYZ:
```
8
Lattice="6.780 0.000 0.000 0.000 11.670 0.000 -1.552 0.000 3.120" Properties=species:S:1:pos:R:3 pbc="T T T"
Ca 1.695 2.918 0.000
Ca 1.695 8.753 0.000
Ca 5.085 2.918 0.000
Ca 5.085 8.753 0.000
Y -0.776 0.000 1.560
Y 2.614 5.835 1.560
Al -0.776 5.835 1.560
Al 2.614 0.000 1.560
```

E_form, eV per formula unit: 0.40
SG: C2/m
Fermi-level density of states, states/eV/atom: 1.29

***

# 2
Density functional theory data (PBE) for a relaxed Sm2ScNi crystal.

Cell and atoms, written as extended XYZ:
```
4
Lattice="3.543 0.000 0.000 0.000 3.543 0.000 0.000 0.000 7.937" Properties=species:S:1:pos:R:3 pbc="T T T"
Sm 0.000 0.000 1.640
Sm 0.000 0.000 6.297
Sc 1.771 1.771 3.968
Ni 1.771 1.771 0.000
```

E_form, eV per formula unit: -0.33
SG: P4/mmm
Fermi-level density of states, states/eV/atom: 1.35